VASP calculation (GGA-PBE) on crystalline Nd5Er4Mg at its relaxed geometry.

Cell: 3.622 3.622 24.553 Å, 90.00 90.00 90.00°
Space group P4/mmm (No. 123)
Unique sites:
1 Nd 0.000 0.000 0.000 x1
2 Nd 0.000 0.000 0.204 x2
3 Nd 0.000 0.000 0.408 x2
4 Er 0.500 0.500 0.102 x2
5 Er 0.500 0.500 0.307 x2
6 Mg 0.500 0.500 0.500 x1

Output
**Calculated density**: 7.3 Mg/m³
**Energy relative to the elements**: 0.00 eV/atom